(1)
{
  "formula": "V2PbSe",
  "functional": "GGA-PBE",
  "state": "optimized geometry",
  "lattice": [[-3.6426, 3.6426, 3.1645], [3.6426, -3.6426, 3.1645], [3.6426, 3.6426, -3.1645]],
  "species": ["V", "V", "V", "V", "Pb", "Pb", "Se", "Se"],
  "fractional_positions": [[0.0696, 0.6250, 0.9446], [0.3750, 0.3196, 0.4446], [0.6804, 0.1250, 0.0554], [0.8750, 0.9304, 0.5554], [0.2500, 0.7500, 0.5000], [0.5000, 0.5000, 0.0000], [0.0000, 0.0000, 0.0000], [0.7500, 0.2500, 0.5000]],
  "formation_energy_uncorrected_ev_per_atom": 0.34,
  "dos_at_fermi_per_ev_cell": 8.46,
  "final_energy_ev_per_atom": -6.018,
  "polymorph_energy_mev_per_atom": 0
}



(2)
{
  "formula": "PmPr2DyTh",
  "functional": "GGA-PBE",
  "state": "optimized geometry",
  "lattice": [[6.3885, 0.0000, 0.0000], [0.0000, 8.5293, 0.0000], [-1.5550, 0.0000, 6.4986]],
  "species": ["Pm", "Pm", "Pr", "Pr", "Pr", "Pr", "Dy", "Dy", "Th", "Th"],
  "fractional_positions": [[0.0000, 0.1630, 0.2500], [0.0000, 0.8370, 0.7500], [0.2854, 0.1741, 0.8451], [0.2854, 0.8259, 0.3451], [0.7146, 0.1741, 0.6549], [0.7146, 0.8259, 0.1549], [0.5000, 0.4187, 0.2500], [0.5000, 0.5813, 0.7500], [0.0000, 0.5000, 0.0000], [0.0000, 0.5000, 0.5000]],
  "dos_at_fermi_per_ev_cell": 17.92,
  "final_energy_ev_per_atom": -5.026,
  "formation_energy_ev_per_fu": 1.2
}



(3)
{
  "formula": "CeSi4Rh6",
  "functional": "GGA-PBE",
  "state": "optimized geometry",
  "lattice": [[7.0378, 0.0000, 0.0000], [-3.5189, 6.0949, 0.0000], [0.0000, 0.0000, 3.8053]],
  "species": ["Ce", "Si", "Si", "Si", "Si", "Rh", "Rh", "Rh", "Rh", "Rh", "Rh"],
  "fractional_positions": [[0.0000, 0.0000, 0.0000], [0.3333, 0.6667, 0.0000], [0.4032, 0.2016, 0.5000], [0.7984, 0.2016, 0.5000], [0.7984, 0.5968, 0.5000], [0.1979, 0.3958, 0.5000], [0.1979, 0.8021, 0.5000], [0.5325, 0.0650, 0.0000], [0.5325, 0.4675, 0.0000], [0.6042, 0.8021, 0.5000], [0.9350, 0.4675, 0.0000]],
  "formation_energy_uncorrected_ev_per_atom": -0.99,
  "dos_at_fermi_per_ev_cell": 6.11,
  "final_energy_ev_per_atom": -7.513
}



(4)
{
  "formula": "NdHo3Sc6",
  "functional": "GGA-PBE",
  "state": "optimized geometry",
  "lattice": [[4.6374, 2.6774, 3.7584], [-4.6374, 2.6774, 3.7584], [0.0000, -5.3548, 3.7584]],
  "species": ["Nd", "Ho", "Ho", "Ho", "Sc", "Sc", "Sc", "Sc", "Sc", "Sc"],
  "fractional_positions": [[0.0000, 0.0000, 0.0000], [0.2518, 0.2518, 0.2518], [0.5000, 0.5000, 0.5000], [0.7482, 0.7482, 0.7482], [0.0000, 0.3328, 0.6672], [0.1710, 0.8290, 0.5000], [0.3328, 0.6672, 0.0000], [0.5000, 0.1710, 0.8290], [0.6672, 0.0000, 0.3328], [0.8290, 0.5000, 0.1710]],
  "dos_at_fermi_per_ev_cell": 21.38,
  "final_energy_ev_per_atom": -5.245,
  "polymorph_energy_mev_per_atom": 247,
  "formation_energy_ev_per_fu": 4.0
}



(5)
{
  "formula": "Te2PCl",
  "functional": "GGA-PBE",
  "state": "optimized geometry",
  "lattice": [[5.7077, -1.8320, 0.0000], [5.7077, 1.8320, 0.0000], [-0.3363, 0.0000, 6.5151]],
  "species": ["Te", "Te", "P", "Cl"],
  "fractional_positions": [[0.0000, 0.0000, 0.0000], [0.1742, 0.1742, 0.3538], [0.5032, 0.5032, 0.2910], [0.7841, 0.7841, 0.6424]],
  "formation_energy_uncorrected_ev_per_atom": 0.10,
  "dos_at_fermi_per_ev_cell": 0.49,
  "final_energy_ev_per_atom": -3.287,
  "polymorph_energy_mev_per_atom": 193
}



(6)
{
  "formula": "NiRh3Au",
  "functional": "GGA-PBE",
  "state": "optimized geometry",
  "lattice": [[4.8519, 0.0000, 0.0000], [0.0000, 4.8519, 0.0000], [0.0000, 0.0000, 4.8519]],
  "species": ["Ni", "Rh", "Rh", "Rh", "Au"],
  "fractional_positions": [[0.0000, 0.0000, 0.0000], [0.0000, 0.5000, 0.5000], [0.5000, 0.0000, 0.5000], [0.5000, 0.5000, 0.0000], [0.5000, 0.5000, 0.5000]],
  "dos_at_fermi_per_ev_cell": 18.25,
  "final_energy_ev_per_atom": -4.225,
  "polymorph_energy_mev_per_atom": 923,
  "formation_energy_ev_per_fu": 10.0
}



Copy entry 1 word for word.
{
  "formula": "V2PbSe",
  "functional": "GGA-PBE",
  "state": "optimized geometry",
  "lattice": [[-3.6426, 3.6426, 3.1645], [3.6426, -3.6426, 3.1645], [3.6426, 3.6426, -3.1645]],
  "species": ["V", "V", "V", "V", "Pb", "Pb", "Se", "Se"],
  "fractional_positions": [[0.0696, 0.6250, 0.9446], [0.3750, 0.3196, 0.4446], [0.6804, 0.1250, 0.0554], [0.8750, 0.9304, 0.5554], [0.2500, 0.7500, 0.5000], [0.5000, 0.5000, 0.0000], [0.0000, 0.0000, 0.0000], [0.7500, 0.2500, 0.5000]],
  "formation_energy_uncorrected_ev_per_atom": 0.34,
  "dos_at_fermi_per_ev_cell": 8.46,
  "final_energy_ev_per_atom": -6.018,
  "polymorph_energy_mev_per_atom": 0
}



> What is the formula in the fifth record?

Te2PCl